1.
{
  "formula": "La2Pm3Sm6In",
  "functional": "PBE",
  "state": "optimized geometry",
  "final_energy_ev_per_atom": -4.659,
  "dos_ef_per_ev_cell": 16.2,
  "e_form_ev_per_fu": -0.75,
  "total_magnetization_mub_per_fu": 0.00,
  "lattice": [[3.117, -5.404, 0.000], [3.117, 5.404, 0.000], [-2.096, 0.000, 11.807]],
  "species": ["La", "La", "Pm", "Pm", "Pm", "Sm", "Sm", "Sm", "Sm", "Sm", "Sm", "In"],
  "fractional_positions": [[0.166, 0.834, 0.000], [0.834, 0.166, 0.000], [0.000, 0.000, 0.500], [0.332, 0.668, 0.500], [0.668, 0.332, 0.500], [0.093, 0.418, 0.752], [0.258, 0.258, 0.250], [0.418, 0.093, 0.752], [0.582, 0.907, 0.248], [0.742, 0.742, 0.750], [0.907, 0.582, 0.248], [0.500, 0.500, 0.000]]
}


2.
{
  "formula": "TeIN3",
  "functional": "PBE",
  "state": "optimized geometry",
  "final_energy_ev_per_atom": -3.964,
  "dos_ef_per_ev_cell": 1.9,
  "raw_formation_energy_mev_per_atom": 1969,
  "total_magnetization_mub_per_fu": 0.00,
  "lattice": [[4.058, 0.000, 0.000], [0.000, 4.058, 0.000], [0.000, 0.000, 4.058]],
  "species": ["Te", "I", "N", "N", "N"],
  "fractional_positions": [[0.000, 0.000, 0.000], [0.500, 0.500, 0.500], [0.000, 0.000, 0.500], [0.000, 0.500, 0.000], [0.500, 0.000, 0.000]]
}


3.
{
  "formula": "Zr6Pd2O",
  "functional": "PBE",
  "state": "optimized geometry",
  "final_energy_ev_per_atom": -8.236,
  "dos_ef_per_ev_cell": 16.4,
  "raw_formation_energy_mev_per_atom": -833,
  "total_magnetization_mub_per_fu": 0.00,
  "lattice": [[5.828, 0.000, 0.000], [0.000, 6.354, 0.000], [-5.402, 0.000, 9.511]],
  "species": ["Zr", "Zr", "Zr", "Zr", "Zr", "Zr", "Zr", "Zr", "Zr", "Zr", "Zr", "Zr", "Pd", "Pd", "Pd", "Pd", "O", "O"],
  "fractional_positions": [[0.096, 0.023, 0.243], [0.096, 0.477, 0.743], [0.203, 0.684, 0.045], [0.203, 0.816, 0.545], [0.379, 0.194, 0.043], [0.379, 0.306, 0.543], [0.621, 0.694, 0.457], [0.621, 0.806, 0.957], [0.797, 0.184, 0.455], [0.797, 0.316, 0.955], [0.904, 0.523, 0.257], [0.904, 0.977, 0.757], [0.357, 0.107, 0.754], [0.357, 0.393, 0.254], [0.643, 0.607, 0.746], [0.643, 0.893, 0.246], [0.000, 0.000, 0.000], [0.000, 0.500, 0.500]]
}


4.
{
  "formula": "Zn3Pd6Pt",
  "functional": "PBE",
  "state": "optimized geometry",
  "final_energy_ev_per_atom": -4.334,
  "dos_ef_per_ev_cell": 10.0,
  "e_form_ev_per_fu": -2.32,
  "total_magnetization_mub_per_fu": 0.00,
  "lattice": [[4.498, -6.467, 0.000], [4.498, 6.467, 0.000], [0.000, 0.000, 5.440]],
  "species": ["Zn", "Zn", "Zn", "Zn", "Zn", "Zn", "Pd", "Pd", "Pd", "Pd", "Pd", "Pd", "Pd", "Pd", "Pd", "Pd", "Pd", "Pd", "Pt", "Pt"],
  "fractional_positions": [[0.115, 0.885, 0.500], [0.218, 0.437, 0.731], [0.437, 0.218, 0.231], [0.563, 0.782, 0.731], [0.782, 0.563, 0.231], [0.885, 0.115, 0.000], [0.045, 0.452, 0.125], [0.125, 0.199, 0.394], [0.199, 0.125, 0.894], [0.229, 0.771, 0.919], [0.452, 0.045, 0.625], [0.459, 0.541, 0.075], [0.541, 0.459, 0.575], [0.548, 0.955, 0.125], [0.771, 0.229, 0.419], [0.801, 0.875, 0.394], [0.875, 0.801, 0.894], [0.955, 0.548, 0.625], [0.308, 0.692, 0.411], [0.692, 0.308, 0.911]]
}


5.
{
  "formula": "TaSi2",
  "functional": "PBE",
  "state": "optimized geometry",
  "final_energy_ev_per_atom": -7.435,
  "dos_ef_per_ev_cell": 4.1,
  "raw_formation_energy_mev_per_atom": 131,
  "total_magnetization_mub_per_fu": 0.00,
  "lattice": [[0.000, 3.470, 3.470], [3.470, 0.000, 3.470], [3.470, 3.470, 0.000]],
  "species": ["Ta", "Ta", "Si", "Si", "Si", "Si"],
  "fractional_positions": [[0.125, 0.125, 0.125], [0.875, 0.875, 0.875], [0.000, 0.500, 0.500], [0.500, 0.000, 0.500], [0.500, 0.500, 0.000], [0.500, 0.500, 0.500]]
}


6.
{
  "formula": "Na4SmPa3N8",
  "functional": "PBE",
  "state": "optimized geometry",
  "final_energy_ev_per_atom": -7.570,
  "dos_ef_per_ev_cell": 12.3,
  "raw_formation_energy_mev_per_atom": -1002,
  "total_magnetization_mub_per_fu": 0.00,
  "lattice": [[6.082, -3.569, 0.000], [6.082, 3.569, 0.000], [-3.947, 0.000, 5.833]],
  "species": ["Na", "Na", "Na", "Na", "Sm", "Pa", "Pa", "Pa", "N", "N", "N", "N", "N", "N", "N", "N"],
  "fractional_positions": [[0.000, 0.000, 0.000], [0.000, 0.500, 0.500], [0.500, 0.000, 0.500], [0.500, 0.500, 0.000], [0.000, 0.000, 0.500], [0.000, 0.500, 0.000], [0.500, 0.000, 0.000], [0.500, 0.500, 0.500], [0.238, 0.238, 0.789], [0.240, 0.710, 0.263], [0.267, 0.267, 0.228], [0.290, 0.760, 0.737], [0.710, 0.240, 0.263], [0.733, 0.733, 0.772], [0.760, 0.290, 0.737], [0.762, 0.762, 0.211]]
}


7.
{
  "formula": "Sc5GaNi4",
  "functional": "PBE",
  "state": "optimized geometry",
  "final_energy_ev_per_atom": -6.305,
  "dos_ef_per_ev_cell": 7.7,
  "e_form_ev_per_fu": -5.24,
  "total_magnetization_mub_per_fu": 0.00,
  "lattice": [[3.197, 0.000, 0.000], [0.000, 3.197, 0.000], [0.000, 0.000, 16.190]],
  "species": ["Sc", "Sc", "Sc", "Sc", "Sc", "Ga", "Ni", "Ni", "Ni", "Ni"],
  "fractional_positions": [[0.000, 0.000, 0.000], [0.000, 0.000, 0.195], [0.000, 0.000, 0.388], [0.000, 0.000, 0.612], [0.000, 0.000, 0.805], [0.500, 0.500, 0.500], [0.500, 0.500, 0.098], [0.500, 0.500, 0.295], [0.500, 0.500, 0.705], [0.500, 0.500, 0.902]]
}


8.
{
  "formula": "LaAg2Mo",
  "functional": "PBE",
  "state": "optimized geometry",
  "final_energy_ev_per_atom": -4.965,
  "dos_ef_per_ev_cell": 3.7,
  "e_form_ev_per_fu": 1.60,
  "total_magnetization_mub_per_fu": 0.28,
  "lattice": [[4.261, 0.000, 0.000], [0.000, 4.261, 0.000], [0.000, 0.000, 4.561]],
  "species": ["La", "Ag", "Ag", "Mo"],
  "fractional_positions": [[0.000, 0.000, 0.000], [0.000, 0.500, 0.500], [0.500, 0.000, 0.500], [0.500, 0.500, 0.000]]
}


9.
{
  "formula": "Nd6Sb3AsSe2",
  "functional": "PBE",
  "state": "optimized geometry",
  "final_energy_ev_per_atom": -5.856,
  "dos_ef_per_ev_cell": 4.1,
  "raw_formation_energy_mev_per_atom": -1473,
  "total_magnetization_mub_per_fu": 0.00,
  "lattice": [[9.575, -2.196, 0.000], [9.575, 2.196, 0.000], [-2.020, 0.000, 8.543]],
  "species": ["Nd", "Nd", "Nd", "Nd", "Nd", "Nd", "Sb", "Sb", "Sb", "As", "Se", "Se"],
  "fractional_positions": [[0.001, 0.001, 0.238], [0.332, 0.332, 0.422], [0.339, 0.339, 0.914], [0.661, 0.661, 0.086], [0.668, 0.668, 0.578], [0.999, 0.999, 0.762], [0.168, 0.168, 0.833], [0.500, 0.500, 0.500], [0.832, 0.832, 0.167], [0.500, 0.500, 0.000], [0.167, 0.167, 0.334], [0.833, 0.833, 0.666]]
}


10.
{
  "formula": "Pm7Er3",
  "functional": "PBE",
  "state": "optimized geometry",
  "final_energy_ev_per_atom": -4.679,
  "dos_ef_per_ev_cell": 14.2,
  "e_form_ev_per_fu": 0.16,
  "total_magnetization_mub_per_fu": 0.00,
  "lattice": [[9.197, -2.552, 0.000], [9.197, 2.552, 0.000], [-1.442, 0.000, 7.058]],
  "species": ["Pm", "Pm", "Pm", "Pm", "Pm", "Pm", "Pm", "Er", "Er", "Er"],
  "fractional_positions": [[0.000, 0.000, 0.000], [0.200, 0.200, 0.601], [0.399, 0.399, 0.198], [0.400, 0.400, 0.701], [0.600, 0.600, 0.299], [0.601, 0.601, 0.802], [0.800, 0.800, 0.399], [0.000, 0.000, 0.500], [0.201, 0.201, 0.100], [0.799, 0.799, 0.900]]
}


11.
{
  "formula": "LiThTlCl6",
  "functional": "PBE",
  "state": "optimized geometry",
  "final_energy_ev_per_atom": -4.387,
  "dos_ef_per_ev_cell": 0.0,
  "raw_formation_energy_mev_per_atom": -1856,
  "total_magnetization_mub_per_fu": 0.00,
  "lattice": [[6.931, 0.000, 0.000], [-3.465, 6.002, 0.000], [0.000, 0.000, 14.198]],
  "species": ["Li", "Li", "Th", "Th", "Tl", "Tl", "Cl", "Cl", "Cl", "Cl", "Cl", "Cl", "Cl", "Cl", "Cl", "Cl", "Cl", "Cl"],
  "fractional_positions": [[0.333, 0.667, 0.250], [0.667, 0.333, 0.750], [0.333, 0.667, 0.750], [0.667, 0.333, 0.250], [0.000, 0.000, 0.000], [0.000, 0.000, 0.500], [0.007, 0.373, 0.143], [0.007, 0.634, 0.357], [0.366, 0.373, 0.357], [0.366, 0.993, 0.143], [0.373, 0.007, 0.643], [0.373, 0.366, 0.857], [0.627, 0.634, 0.143], [0.627, 0.993, 0.357], [0.634, 0.007, 0.857], [0.634, 0.627, 0.643], [0.993, 0.366, 0.643], [0.993, 0.627, 0.857]]
}


12.
{
  "formula": "In2PtPb",
  "functional": "PBE",
  "state": "optimized geometry",
  "final_energy_ev_per_atom": -3.741,
  "dos_ef_per_ev_cell": 2.9,
  "e_form_ev_per_fu": 0.26,
  "total_magnetization_mub_per_fu": 0.00,
  "lattice": [[0.000, 3.616, 3.616], [3.616, 0.000, 3.616], [3.616, 3.616, 0.000]],
  "species": ["In", "In", "Pt", "Pb"],
  "fractional_positions": [[0.000, 0.000, 0.000], [0.250, 0.250, 0.250], [0.750, 0.750, 0.750], [0.500, 0.500, 0.500]]
}